# PrNdSiAg PBE optimized geometry
# Formation energy (no corrections), eV per atom: -0.4082
# Magnetization, μB/f.u.: 0.001
# Density, g cm⁻³: 6.859
data_PrNdSiAg
_cell_length_a 5.2437
_cell_length_b 5.2437
_cell_length_c 5.2437
_cell_angle_alpha 60.00
_cell_angle_beta 60.00
_cell_angle_gamma 60.00
_symmetry_space_group_name_H-M 'P 1'
_symmetry_Int_Tables_number 1
_symmetry_space_group_name_Hall 'P 1'
loop_
_atom_site_label
_atom_site_type_symbol
_atom_site_fract_x
_atom_site_fract_y
_atom_site_fract_z
Pr1 Pr 0.2500 0.2500 0.2500
Si1 Si 0.0000 0.0000 0.0000
Nd1 Nd 0.7500 0.7500 0.7500
Ag1 Ag 0.5000 0.5000 0.5000

***

# RhICl PBE optimized geometry
# Formation energy (no corrections), eV per atom: -0.1993
# Magnetization, μB/f.u.: 0.000
# Density, g cm⁻³: 5.394
data_RhICl
_cell_length_a 4.0609
_cell_length_b 8.0630
_cell_length_c 6.6534
_cell_angle_alpha 51.35
_cell_angle_beta 76.42
_cell_angle_gamma 74.58
_symmetry_space_group_name_H-M 'P 1'
_symmetry_Int_Tables_number 1
_symmetry_space_group_name_Hall 'P 1'
loop_
_atom_site_label
_atom_site_type_symbol
_atom_site_fract_x
_atom_site_fract_y
_atom_site_fract_z
Rh1 Rh 0.3126 0.7533 0.7275
Rh2 Rh 0.6874 0.2467 0.2725
I1 I 0.8997 0.8599 0.4011
I2 I 0.1003 0.1401 0.5989
Cl1 Cl 0.3973 0.3745 0.9114
Cl2 Cl 0.6027 0.6255 0.0886